Below is a PBEsol-optimized structure of Li3MgRh, with properties calculated at the meta-GGA SCAN level.

- Energy of formation from the pure elements: 0.218 eV per atom
- Total magnetization: 0.000 μB/atom
- V: 95 Å³/f.u.

abc: 4.556 4.556 4.556
angles: 90.00 90.00 90.00
Fractional positions:
Rh 0.000 0.000 0.000
Li 0.500 0.000 0.000
Mg 0.500 0.500 0.500
Li 0.000 0.000 0.500
Li 0.000 0.500 0.000

=====

Below is a PBEsol-optimized structure of LiMgRh, with properties calculated at the meta-GGA SCAN level.

- Energy of formation from the pure elements: -0.153 eV per atom
- Total magnetization: 0.000 μB/atom
- Energy above the most stable polymorph in this dataset: 178.5 meV per atom
- V: 47 Å³/f.u.

abc: 2.839 2.839 6.701
angles: 90.00 90.00 120.00
Fractional positions:
Li 0.000 0.000 0.032
Rh 0.667 0.333 0.330
Mg 0.333 0.667 0.638